First-principles (PBE+U) data for Ac2TmMo3O12 after structural relaxation, as listed in the Alexandria database. Values from VASP.

The value obtained for the mass density is 7.3 Mg/m³. The raw total energy is -7.529 eV/atom. As for the space-group type: R-3m (166).

The structure in Quantum ESPRESSO input format:
```
&SYSTEM
  ibrav = 0, nat = 18, ntyp = 4
/
ATOMIC_SPECIES
Ac 227.00 Ac.upf
Tm 168.93 Tm.upf
Mo 95.94 Mo.upf
O 16.00 O.upf
CELL_PARAMETERS angstrom
-5.405 -3.932 1.280
0.858 -6.575 -1.531
0.693 -4.094 5.392
ATOMIC_POSITIONS crystal
Ac 0.616 0.616 0.616
Ac 0.384 0.384 0.384
Tm 0.000 0.000 0.000
Mo 0.500 0.000 0.000
Mo 0.000 0.500 0.000
Mo 0.000 0.000 0.500
O 0.273 0.273 0.867
O 0.856 0.856 0.430
O 0.430 0.856 0.856
O 0.867 0.273 0.273
O 0.856 0.430 0.856
O 0.273 0.867 0.273
O 0.727 0.727 0.133
O 0.144 0.144 0.570
O 0.570 0.144 0.144
O 0.133 0.727 0.727
O 0.144 0.570 0.144
O 0.727 0.133 0.727
```